No. 1
VASP calculation (GGA-PBE) on an optimized crystal structure of BaCdGePd.

Output
* D(E_F): 0.362 states/eV per atom
* ΔH_f (0 K): -0.442 eV per atom
* magnetization: 0.0 μB/cell

Lattice parameters (Å, degrees): 5.9843 5.9843 5.9843 134.71 131.09 68.85
Last column: nearest neighbours and their distance in Å.
Element x y z (fractional)
Ba 0.0000 0.0000 0.0000  4 Ge 3.36-3.52, 5 Pd 3.55-3.65, 5 Cd 3.55-3.65
Cd 0.3601 0.3601 0.0000  1 Pd 2.76, 2 Ge 2.79
Ge 0.7298 0.2298 0.5000  2 Pd 2.47
Pd 0.6400 0.6400 0.0000  2 Ge 2.47, 1 Cd 2.76

=====

No. 2
VASP calculation (GGA-PBE) on an optimized crystal structure of ThMg4Hg5.

Output
* D(E_F): 0.364 states/eV per atom
* ΔH_f (0 K): -0.240 eV per atom
* magnetization: 0.0 μB/cell

Lattice parameters (Å, degrees): 3.6014 3.6014 17.4276 90.00 90.00 90.00
Last column: nearest neighbours and their distance in Å.
Element x y z (fractional)
Th 0.0000 0.0000 0.0000  8 Hg 3.32, 4 Th 3.60
Mg 0.0000 0.0000 0.2160  8 Hg 3.02-3.03, 1 Mg 3.31
Mg 0.0000 0.0000 0.4060  8 Hg 3.03-3.04, 2 Mg 3.27-3.31
Mg 0.0000 0.0000 0.5940  8 Hg 3.03-3.04, 2 Mg 3.27-3.31
Mg 0.0000 0.0000 0.7840  8 Hg 3.02-3.03, 1 Mg 3.31
Hg 0.5000 0.5000 0.1223  4 Mg 3.02, 1 Hg 3.28, 4 Th 3.32
Hg 0.5000 0.5000 0.3105  8 Mg 3.03-3.04, 2 Hg 3.28-3.30
Hg 0.5000 0.5000 0.5000  8 Mg 3.03, 2 Hg 3.30
Hg 0.5000 0.5000 0.6895  8 Mg 3.03-3.04, 2 Hg 3.28-3.30
Hg 0.5000 0.5000 0.8777  4 Mg 3.02, 1 Hg 3.28, 4 Th 3.32

=====

No. 3
VASP calculation (GGA-PBE) on an optimized crystal structure of Pm8Hg2Ru.

Output
* distance to the lowest polymorph of the same formula: 0 meV per atom
* D(E_F): 0.929 states/eV per atom
* ΔH_f (0 K): -0.217 eV per atom
* magnetization: 0.0 μB/cell

Lattice parameters (Å, degrees): 9.4135 9.4135 7.0229 103.37 103.37 32.81
Last column: nearest neighbours and their distance in Å.
Element x y z (fractional)
Pm 0.0234 0.0234 0.2849  1 Hg 3.12, 2 Ru 3.14, 3 Pm 3.33-3.46
Pm 0.1996 0.1996 0.8042  3 Hg 3.04-3.37
Pm 0.3479 0.3479 0.5412  1 Ru 2.83, 1 Hg 3.15
Pm 0.4122 0.4122 0.0680  1 Ru 3.07
Pm 0.5878 0.5878 0.9320  1 Ru 3.07
Pm 0.6521 0.6521 0.4588  1 Ru 2.83, 1 Hg 3.15
Pm 0.8004 0.8004 0.1958  3 Hg 3.04-3.37
Pm 0.9766 0.9766 0.7151  1 Hg 3.12, 2 Ru 3.14, 3 Pm 3.33-3.46
Hg 0.1899 0.1899 0.2298  7 Pm 3.04-3.37
Hg 0.8101 0.8101 0.7702  7 Pm 3.04-3.37
Ru 0.5000 0.5000 0.5000  8 Pm 2.83-3.14

=====

No. 4
VASP calculation (GGA-PBE) on an optimized crystal structure of K4Cd5Pt3.

Output
* D(E_F): 0.366 states/eV per atom
* ΔH_f (0 K): -0.118 eV per atom
* magnetization: 0.0 μB/cell

Lattice parameters (Å, degrees): 6.4861 6.4861 12.6698 114.53 114.53 47.73
Last column: nearest neighbours and their distance in Å.
Element x y z (fractional)
K 0.1682 0.1682 0.0185  1 Pt 3.18, 2 K 3.42, 1 Cd 3.54
K 0.1686 0.1686 0.3612  1 Pt 3.21, 2 Cd 3.50-3.55
K 0.8314 0.8314 0.6388  1 Pt 3.21, 2 Cd 3.50-3.55
K 0.8318 0.8318 0.9815  1 Pt 3.18, 2 K 3.42, 1 Cd 3.54
Cd 0.1628 0.1628 0.7364  3 Pt 2.73-2.81, 1 Cd 3.05
Cd 0.4512 0.4512 0.8663  1 Pt 2.67
Cd 0.5000 0.5000 0.5000  4 Pt 2.62-2.73
Cd 0.5488 0.5488 0.1337  1 Pt 2.67
Cd 0.8372 0.8372 0.2636  3 Pt 2.73-2.81, 1 Cd 3.05
Pt 0.0000 0.0000 0.5000  4 Cd 2.62-2.73
Pt 0.4214 0.4214 0.2617  4 Cd 2.67-2.81
Pt 0.5786 0.5786 0.7383  4 Cd 2.67-2.81

=====

No. 5
VASP calculation (GGA-PBE) on an optimized crystal structure of ReRu.

Output
* D(E_F): 1.347 states/eV per atom
* ΔH_f (0 K): 1.247 eV per atom
* magnetization: 0.0 μB/cell

Lattice parameters (Å, degrees): 3.6013 3.6013 3.6013 60.00 60.00 60.00
Last column: nearest neighbours and their distance in Å.
Element x y z (fractional)
Re 0.0000 0.0000 0.0000  6 Ru 2.55
Ru 0.5000 0.5000 0.5000  6 Re 2.55

=====

No. 6
VASP calculation (GGA-PBE) on an optimized crystal structure of Pa2TlCu2Se6.

Output
* D(E_F): 0.554 states/eV per atom
* formation energy without anion corrections: -875.6 meV per atom
* magnetization: 1.1 μB/cell

Lattice parameters (Å, degrees): 7.4347 7.5796 7.6202 90.29 117.59 119.15
Last column: nearest neighbours and their distance in Å.
Element x y z (fractional)
Pa 0.1659 0.3338 0.0002  6 Se 2.82-2.87
Pa 0.8341 0.6662 0.9998  6 Se 2.82-2.87
Tl 0.5000 0.0000 0.0000  6 Se 3.25-3.28
Cu 0.3823 0.3344 0.5601  3 Se 2.36-2.39
Cu 0.6177 0.6656 0.4399  3 Se 2.36-2.39
Se 0.0347 0.0737 0.2442  1 Cu 2.36
Se 0.2773 0.6945 0.2453  1 Cu 2.39
Se 0.3476 0.5512 0.7552  1 Cu 2.39
Se 0.6524 0.4488 0.2448  1 Cu 2.39
Se 0.7227 0.3055 0.7547  1 Cu 2.39
Se 0.9653 0.9263 0.7558  1 Cu 2.36

=====

No. 7
VASP calculation (GGA-PBE) on an optimized crystal structure of Rb3CoSn.

Output
* distance to the lowest polymorph of the same formula: 0 meV per atom
* D(E_F): 1.557 states/eV per atom
* ΔH_f (0 K): 0.770 eV per atom
* magnetization: 4.0 μB/cell

Lattice parameters (Å, degrees): 6.4455 6.4455 6.4455 90.00 90.00 90.00
Last column: nearest neighbours and their distance in Å.
Element x y z (fractional)
Rb 0.0000 0.0000 0.5000  2 Co 3.22
Rb 0.0000 0.5000 0.0000  2 Co 3.22
Rb 0.5000 0.0000 0.0000  2 Co 3.22
Co 0.0000 0.0000 0.0000  6 Rb 3.22
Sn 0.5000 0.5000 0.5000  12 Rb 4.56

=====

No. 8
VASP calculation (GGA-PBE) on an optimized crystal structure of Pm5PrDyTm2.

Output
* D(E_F): 1.598 states/eV per atom
* ΔH_f (0 K): 0.154 eV per atom
* magnetization: 0.0 μB/cell

Lattice parameters (Å, degrees): 10.5493 10.5493 10.6025 90.00 90.00 148.75
Last column: nearest neighbours and their distance in Å.
Element x y z (fractional)
Pm 0.0167 0.9833 0.5000  2 Pr 3.26, 3 Tm 3.44-3.62
Pm 0.2799 0.7201 0.7922  1 Pr 3.08, 1 Tm 3.34, 2 Pm 3.43
Pm 0.2974 0.7026 0.1866  4 Pm 3.43-3.81, 3 Dy 3.52-3.80, 3 Tm 3.55-3.75, 1 Pr 3.60
Pm 0.3868 0.6132 0.5026  6 Pm 3.54-3.88, 4 Tm 3.58-3.61, 1 Dy 3.82
Pm 0.4787 0.5213 0.2187  2 Pr 3.13-3.34
Pm 0.5213 0.4787 0.7187  2 Pr 3.13-3.34
Pm 0.6132 0.3868 0.0026  6 Pm 3.54-3.88, 4 Tm 3.58-3.61, 1 Dy 3.82
Pm 0.7026 0.2974 0.6866  4 Pm 3.43-3.81, 3 Dy 3.52-3.80, 3 Tm 3.55-3.75, 1 Pr 3.60
Pm 0.7201 0.2799 0.2922  1 Pr 3.08, 1 Tm 3.34, 2 Pm 3.43
Pm 0.9833 0.0167 0.0000  2 Pr 3.26, 3 Tm 3.44-3.62
Pr 0.4134 0.5866 0.9295  5 Pm 3.08-3.34
Pr 0.5866 0.4134 0.4295  5 Pm 3.08-3.34
Dy 0.1986 0.8014 0.4906  2 Tm 3.42-3.66, 8 Pm 3.52-3.82, 2 Pr 3.70
Dy 0.8014 0.1986 0.9906  2 Tm 3.42-3.66, 8 Pm 3.52-3.82, 2 Pr 3.70
Tm 0.1133 0.8867 0.2130  1 Dy 3.42, 7 Pm 3.48-3.75, 2 Pr 3.69
Tm 0.1157 0.8843 0.7974  8 Pm 3.34-3.58, 1 Dy 3.66
Tm 0.8843 0.1157 0.2974  8 Pm 3.34-3.58, 1 Dy 3.66
Tm 0.8867 0.1133 0.7130  1 Dy 3.42, 7 Pm 3.48-3.75, 2 Pr 3.69

=====

No. 9
VASP calculation (GGA-PBE) on an optimized crystal structure of Ca3P4Rh4.

Output
* D(E_F): 0.713 states/eV per atom
* ΔH_f (0 K): -0.932 eV per atom
* magnetization: 0.0 μB/cell

Lattice parameters (Å, degrees): 6.3900 6.3900 6.3900 109.47 109.47 109.47
Last column: nearest neighbours and their distance in Å.
Element x y z (fractional)
Ca 0.0000 0.5000 0.5000  4 P 3.02, 4 Rh 3.02
Ca 0.5000 0.0000 0.5000  4 P 3.02, 4 Rh 3.02
Ca 0.5000 0.5000 0.0000  4 P 3.02, 4 Rh 3.02
P 0.0000 0.0000 0.3580  4 Rh 2.24-2.42
P 0.0000 0.3580 0.0000  4 Rh 2.24-2.42
P 0.3580 0.0000 0.0000  4 Rh 2.24-2.42
P 0.6420 0.6420 0.6420  4 Rh 2.24-2.42
Rh 0.0000 0.0000 0.7083  4 P 2.24-2.42
Rh 0.0000 0.7083 0.0000  4 P 2.24-2.42
Rh 0.2917 0.2917 0.2917  4 P 2.24-2.42
Rh 0.7083 0.0000 0.0000  4 P 2.24-2.42

=====

No. 10
VASP calculation (GGA-PBE) on an optimized crystal structure of GaMoSeBr2.

Output
* distance to the lowest polymorph of the same formula: 0 meV per atom
* D(E_F): 0.407 states/eV per atom
* formation energy without anion corrections: -55.0 meV per atom
* magnetization: 2.6 μB/cell

Lattice parameters (Å, degrees): 5.3794 5.3794 4.9256 90.00 90.00 90.00
Last column: nearest neighbours and their distance in Å.
Element x y z (fractional)
Ga 0.0000 0.0000 0.0000  8 Br 3.65, 4 Se 3.80
Mo 0.5000 0.5000 0.5000  2 Se 2.46, 4 Br 2.69
Se 0.5000 0.5000 0.0000  2 Mo 2.46
Br 0.0000 0.5000 0.5000  2 Mo 2.69
Br 0.5000 0.0000 0.5000  2 Mo 2.69

=====

Number 1: E -3.6044 eV/atom. Number 2: E -1.7707 eV/atom. Number 3: E -4.5701 eV/atom. Number 4: E -2.3756 eV/atom. Number 5: E -9.6151 eV/atom. Number 6: E -5.4627 eV/atom. Number 7: E -2.0325 eV/atom. Number 8: E -4.5217 eV/atom. Number 9: E -6.1180 eV/atom. Number 10: E -4.1926 eV/atom.